This record from Alexandria via LeMat-Bulk describes a geometry-optimized KSrH2 structure. The functional is PBE-GGA.

energy = -2.280 eV per atom
E above lowest polymorph = 0.3151 eV per atom

a b c (Å): 6.884 6.884 6.884
angles (deg): 90.00 90.00 90.00
Space group Fm-3m (No. 225)
Unique sites:
K1 0.000 0.000 0.000 x4
Sr1 0.000 0.000 0.500 x4
H1 0.250 0.250 0.250 x8